A geometry-optimized Ac7TbEr2 structure. Source: Alexandria, functional GGA-PBE.

Geometry as POSCAR:
```
Ac7TbEr2
1.0
5.017 -7.962 0.000
5.017 7.962 0.000
0.000 0.000 6.211
Ac Tb Er
7 1 2
Cartesian
0.000 0.000 0.000
5.017 5.230 3.106
3.144 1.884 0.000
3.144 -1.884 0.000
6.890 1.884 0.000
6.890 -1.884 0.000
5.017 -5.230 3.106
5.017 0.000 3.106
5.017 4.627 0.000
5.017 -4.627 0.000
```

space group	No. 65
ρ	6.97	Mg/m³
DOS at the Fermi energy	16.3	states/eV/cell
ΔE_f	0.64	eV per atom
M_tot	0.65	μB per formula unit